# 1
First-principles (PBE-GGA) data for MgNiPd2N after structural relaxation, as listed in Alexandria.

Cell and atoms, written as POSCAR:
```
MgNiPd2N
1.0
4.2982 0.0000 0.0000
0.0000 4.2982 0.0000
0.0000 0.0000 3.6348
Mg Ni Pd N
1 1 2 1
Direct
0.0000 0.0000 0.0000
0.5000 0.5000 0.0000
0.0000 0.5000 0.5000
0.5000 0.0000 0.5000
0.5000 0.5000 0.5000
```

Its energy relative to the elements, uncorrected is -187 meV/atom. For the volume, the calculation gives 13.43 A^3/atom. The distance to the lowest polymorph of the same formula comes out at 0 kJ/mol of formula units. The uncorrected energy comes out at -27.021 eV/f.u.

# 2
First-principles (PBE-GGA) data for MgNiPd2N after structural relaxation, as listed in Alexandria.

Cell and atoms, written as POSCAR:
```
MgNiPd2N
1.0
4.1271 0.0000 0.0000
0.0000 4.1271 0.0000
0.0000 0.0000 4.0268
Mg Ni Pd N
1 1 2 1
Direct
0.0000 0.0000 0.0000
0.5000 0.5000 0.0000
0.0000 0.5000 0.5000
0.5000 0.0000 0.5000
0.0000 0.0000 0.5000
```

Its energy relative to the elements, uncorrected is 103 meV/atom. For the volume, the calculation gives 13.72 A^3/atom. The distance to the lowest polymorph of the same formula comes out at 140 kJ/mol of formula units. The uncorrected energy comes out at -25.571 eV/f.u.

# 3
First-principles (PBE-GGA) data for MgNi2PdN after structural relaxation, as listed in Alexandria.

Cell and atoms, written as POSCAR:
```
MgNi2PdN
1.0
3.7688 0.0000 0.0000
0.0000 3.7688 0.0000
0.0000 0.0000 4.3094
Mg Ni Pd N
1 2 1 1
Direct
0.0000 0.0000 0.0000
0.0000 0.5000 0.5000
0.5000 0.0000 0.5000
0.5000 0.5000 0.0000
0.5000 0.5000 0.5000
```

Its energy relative to the elements, uncorrected is -191 meV/atom. For the volume, the calculation gives 12.24 A^3/atom. The distance to the lowest polymorph of the same formula comes out at 27 kJ/mol of formula units. The uncorrected energy comes out at -27.629 eV/f.u.

# 4
First-principles (PBE-GGA) data for MgNi2PtN after structural relaxation, as listed in Alexandria.

Cell and atoms, written as POSCAR:
```
MgNi2PtN
1.0
3.7645 0.0000 0.0000
0.0000 3.7645 0.0000
0.0000 0.0000 4.2143
Mg Ni Pt N
1 2 1 1
Direct
0.0000 0.0000 0.0000
0.0000 0.5000 0.5000
0.5000 0.0000 0.5000
0.5000 0.5000 0.0000
0.0000 0.0000 0.5000
```

Its energy relative to the elements, uncorrected is -247 meV/atom. For the volume, the calculation gives 11.94 A^3/atom. The distance to the lowest polymorph of the same formula comes out at 0 kJ/mol of formula units. The uncorrected energy comes out at -28.760 eV/f.u.

# 5
First-principles (PBE-GGA) data for MgNi2PtN after structural relaxation, as listed in Alexandria.

Cell and atoms, written as POSCAR:
```
MgNi2PtN
1.0
4.8345 0.0000 0.0000
0.0000 4.8345 0.0000
0.0000 0.0000 3.6577
Mg Ni Pt N
1 2 1 1
Direct
0.0000 0.0000 0.0000
0.0000 0.5000 0.5000
0.5000 0.0000 0.5000
0.5000 0.5000 0.5000
0.5000 0.5000 0.0000
```

Its energy relative to the elements, uncorrected is 793 meV/atom. For the volume, the calculation gives 17.10 A^3/atom. The distance to the lowest polymorph of the same formula comes out at 502 kJ/mol of formula units. The uncorrected energy comes out at -23.557 eV/f.u.

# 6
First-principles (PBE-GGA) data for MgNi2RhN after structural relaxation, as listed in Alexandria.

Cell and atoms, written as POSCAR:
```
MgNi2RhN
1.0
3.7992 0.0000 0.0000
0.0000 3.7992 0.0000
0.0000 0.0000 4.1231
Mg Ni Rh N
1 2 1 1
Direct
0.0000 0.0000 0.0000
0.0000 0.5000 0.5000
0.5000 0.0000 0.5000
0.5000 0.5000 0.0000
0.5000 0.5000 0.5000
```

Its energy relative to the elements, uncorrected is -185 meV/atom. For the volume, the calculation gives 11.90 A^3/atom. The uncorrected energy comes out at -29.757 eV/f.u.